[1]
VASP calculation (PBE) on CaCu8Ni2 after structural relaxation.

formation energy from the elements	0.386	eV per atom
symmetry	P4/mmm (123)
DFT total energy	-0.2812	Ry/atom

Structure (POSCAR):
```
CaCu8Ni2
1.0
4.8525 0.0000 0.0000
0.0000 4.8525 0.0000
0.0000 0.0000 8.2457
Ni Ca Cu
2 1 8
Direct
0.5000 0.0000 0.0000
0.0000 0.5000 0.0000
0.5000 0.5000 0.5000
0.7509 0.2491 0.2053
0.7509 0.7509 0.2053
0.7509 0.2491 0.7947
0.2491 0.7509 0.2053
0.2491 0.2491 0.2053
0.2491 0.2491 0.7947
0.2491 0.7509 0.7947
0.7509 0.7509 0.7947
```

=====

[2]
VASP calculation (PBE) on BaIn4Ni after structural relaxation.

formation energy from the elements	0.168	eV per atom
symmetry	F-43m (216)
DFT total energy	-0.2162	Ry/atom

Structure (POSCAR):
```
BaIn4Ni
1.0
0.0000 4.3772 4.3772
4.3772 0.0000 4.3772
4.3772 4.3772 0.0000
In Ni Ba
4 1 1
Direct
0.8728 0.3757 0.3757
0.3757 0.3757 0.8728
0.3757 0.3757 0.3757
0.3757 0.8728 0.3757
0.7500 0.7500 0.7500
0.0000 0.0000 0.0000
```

=====

[3]
VASP calculation (PBE) on Sr8Tl2N after structural relaxation.

symmetry	C2/m (12)
DFT total energy	-0.1870	Ry/atom

Structure (POSCAR):
```
Sr8Tl2N
1.0
-2.4336 -5.9280 -0.5351
2.2666 -0.3024 -6.9587
8.0240 -0.3719 6.2653
Sr Tl N
8 2 1
Direct
0.6249 0.9426 0.2498
0.5806 0.3577 0.1613
0.3751 0.0574 0.7502
0.4194 0.6423 0.8387
0.0175 0.7680 0.0349
0.2176 0.2835 0.4352
0.7824 0.7165 0.5648
0.9825 0.2320 0.9651
0.8174 0.2822 0.6349
0.1826 0.7178 0.3651
0.5000 0.0000 0.0000
```